Record 1
The following is a PBE-GGA calculation of an optimized crystal structure of Sr2CaIr, from Alexandria via LeMat-Bulk.

* calculated formation energy: -1.5 meV per atom
* excess energy over the best structure of this formula in the dataset: 0.224 eV/atom

a b c (Å): 3.7036 3.7005 10.9285
angles (deg): 70.14 90.00 90.00
With the nearest neighbours (Å) after each atom.
Sites, in units of the cell vectors:
Sr: 0.0000 0.0831 0.9165  4 Ir 3.13, 1 Sr 3.42
Sr: 0.0000 0.4169 0.5835  4 Ir 3.13, 1 Sr 3.42
Ir: 0.5000 0.7500 0.7500  8 Sr 3.13
Ca: 0.5000 0.2500 0.2500  4 Ca 3.70


Record 2
The following is a PBE-GGA calculation of an optimized crystal structure of BaSi2AsS8, from Alexandria via LeMat-Bulk.

* uncorrected formation energy: -0.5094 eV/atom

a b c (Å): 6.0053 6.0053 8.8433
angles (deg): 90.00 90.00 120.00
With the nearest neighbours (Å) after each atom.
Sites, in units of the cell vectors:
S: 0.9908 0.3129 0.6717  1 Si 2.15
S: 0.6871 0.6780 0.6717  1 Si 2.15
S: 0.6667 0.3333 0.0345  1 Si 2.11
S: 0.3333 0.6667 0.9655  1 Si 2.11
S: 0.0092 0.6871 0.3283  1 Si 2.15
S: 0.3220 0.0092 0.6717  1 Si 2.15
S: 0.3129 0.3220 0.3283  1 Si 2.15
S: 0.6780 0.9908 0.3283  1 Si 2.15
As: 0.0000 0.0000 0.5000  6 S 2.44
Si: 0.6667 0.3333 0.2729  4 S 2.11-2.15
Si: 0.3333 0.6667 0.7271  4 S 2.11-2.15
Ba: 0.0000 0.0000 0.0000  12 S 3.47-3.48


Record 3
The following is a PBE-GGA calculation of an optimized crystal structure of SmMnCoGe2, from Alexandria via LeMat-Bulk.

* calculated formation energy: -523.3 meV per atom

a b c (Å): 4.0244 4.0244 5.9783
angles (deg): 109.67 109.67 90.00
With the nearest neighbours (Å) after each atom.
Sites, in units of the cell vectors:
Ge: 0.3767 0.3767 0.7534  2 Mn 2.41, 2 Co 2.41, 1 Ge 2.59
Ge: 0.6233 0.6233 0.2466  2 Mn 2.41, 2 Co 2.41, 1 Ge 2.59
Mn: 0.7500 0.2500 0.5000  4 Ge 2.41
Co: 0.2500 0.7500 0.5000  4 Ge 2.41
Sm: 0.0000 0.0000 0.0000  8 Ge 3.13, 4 Mn 3.31, 4 Co 3.31


Record 4
The following is a PBE-GGA calculation of an optimized crystal structure of H3Os, from Alexandria via LeMat-Bulk.

* excess energy over the best structure of this formula in the dataset: 0.104 eV/atom

a b c (Å): 2.9995 4.5874 4.5886
angles (deg): 93.50 71.01 71.01
With the nearest neighbours (Å) after each atom.
Sites, in units of the cell vectors:
H: 0.0746 0.7924 0.5667  2 Os 1.76-1.81, 2 H 1.89-1.90
H: 0.4257 0.4333 0.2075  2 Os 1.76-1.81, 2 H 1.89-1.90
H: 0.7504 0.7012 0.2982  2 Os 1.73, 4 H 1.89-1.90
H: 0.9254 0.2076 0.4333  2 Os 1.76-1.81, 2 H 1.89-1.90
H: 0.2496 0.2988 0.7018  2 Os 1.73, 4 H 1.89-1.90
H: 0.5743 0.5667 0.7925  2 Os 1.76-1.81, 2 H 1.89-1.90
Os: 0.7500 0.1692 0.8307  6 H 1.73-1.81
Os: 0.2500 0.8308 0.1693  6 H 1.73-1.81


Record 5
The following is a PBE-GGA calculation of an optimized crystal structure of Sm3CdRh, from Alexandria via LeMat-Bulk.

* calculated formation energy: -397.8 meV per atom

a b c (Å): 4.1524 8.5576 8.6110
angles (deg): 110.77 90.00 90.00
With the nearest neighbours (Å) after each atom.
Sites, in units of the cell vectors:
Sm: 0.2500 0.9467 0.7502  3 Rh 2.84-3.07
Sm: 0.2500 0.3169 0.6021  2 Rh 2.89
Sm: 0.7500 0.0533 0.2498  3 Rh 2.84-3.07
Sm: 0.2500 0.6786 0.0484  1 Rh 2.86, 2 Cd 3.16
Sm: 0.7500 0.6831 0.3979  2 Rh 2.89
Sm: 0.7500 0.3214 0.9516  1 Rh 2.86, 2 Cd 3.16
Cd: 0.2500 0.3536 0.2384  7 Sm 3.16-3.38
Cd: 0.7500 0.6464 0.7616  7 Sm 3.16-3.38
Rh: 0.2500 0.9120 0.3828  6 Sm 2.84-3.07, 2 Rh 2.92
Rh: 0.7500 0.0880 0.6172  6 Sm 2.84-3.07, 2 Rh 2.92


Record 6
The following is a PBE-GGA calculation of an optimized crystal structure of GaSn2Ru2, from Alexandria via LeMat-Bulk.

* calculated formation energy: -88.6 meV per atom

a b c (Å): 6.7172 6.7172 3.9798
angles (deg): 90.00 90.00 90.00
With the nearest neighbours (Å) after each atom.
Sites, in units of the cell vectors:
Ru: 0.8492 0.6508 0.0000  2 Ga 2.56, 2 Sn 2.71
Ru: 0.1508 0.3492 0.0000  2 Ga 2.56, 2 Sn 2.71
Ru: 0.3492 0.8492 0.0000  2 Ga 2.56, 2 Sn 2.71
Ru: 0.6508 0.1508 0.0000  2 Ga 2.56, 2 Sn 2.71
Sn: 0.1560 0.6560 0.5000  6 Ru 2.71-2.86, 1 Sn 2.96
Sn: 0.6560 0.8440 0.5000  6 Ru 2.71-2.86, 1 Sn 2.96
Sn: 0.3440 0.1560 0.5000  6 Ru 2.71-2.86, 1 Sn 2.96
Sn: 0.8440 0.3440 0.5000  6 Ru 2.71-2.86, 1 Sn 2.96
Ga: 0.5000 0.5000 0.0000  4 Ru 2.56
Ga: 0.0000 0.0000 0.0000  4 Ru 2.56


Record 7
The following is a PBE-GGA calculation of an optimized crystal structure of Dy4Pb3Se, from Alexandria via LeMat-Bulk.

* uncorrected formation energy: -0.7394 eV/atom

a b c (Å): 4.1298 7.6939 7.6939
angles (deg): 106.64 90.00 90.00
With the nearest neighbours (Å) after each atom.
Sites, in units of the cell vectors:
Pb: 0.0000 0.0000 0.5000  6 Dy 3.09
Pb: 0.0000 0.5000 0.0000  6 Dy 3.09
Pb: 0.5000 0.5000 0.5000  6 Dy 3.17-3.20
Se: 0.5000 0.0000 0.0000  6 Dy 2.98-3.00
Dy: 0.0000 0.7666 0.7666  2 Se 2.98, 4 Pb 3.09-3.20
Dy: 0.5000 0.7572 0.2428  1 Se 3.00, 5 Pb 3.09-3.17
Dy: 0.5000 0.2428 0.7572  1 Se 3.00, 5 Pb 3.09-3.17
Dy: 0.0000 0.2334 0.2334  2 Se 2.98, 4 Pb 3.09-3.20


Record 8
The following is a PBE-GGA calculation of an optimized crystal structure of SrCaMg2Cd4, from Alexandria via LeMat-Bulk.

* calculated formation energy: -241.4 meV per atom

a b c (Å): 5.2590 5.2590 9.1371
angles (deg): 73.27 73.27 60.00
With the nearest neighbours (Å) after each atom.
Sites, in units of the cell vectors:
Cd: 0.3783 0.3783 0.8650  1 Ca 3.15, 4 Mg 3.20-3.34, 3 Sr 3.25
Cd: 0.1281 0.1281 0.6157  4 Mg 3.13-3.24, 3 Ca 3.20, 1 Sr 3.31
Cd: 0.6217 0.6217 0.1350  1 Ca 3.15, 4 Mg 3.20-3.34, 3 Sr 3.25
Cd: 0.8719 0.8719 0.3843  4 Mg 3.13-3.24, 3 Ca 3.20, 1 Sr 3.31
Ca: 0.5000 0.5000 0.5000  8 Cd 3.15-3.20
Mg: 0.7509 0.7509 0.7472  8 Cd 3.13-3.34
Mg: 0.2491 0.2491 0.2528  8 Cd 3.13-3.34
Sr: 0.0000 0.0000 0.0000  8 Cd 3.25-3.31


| no. | calculated total energy (eV/atom) | magnetic moment (μB/atom) |
| --- | --- | --- |
| 1 | -3.5581 | 0.000 |
| 2 | -4.7126 | 0.001 |
| 3 | -6.5692 | 0.615 |
| 4 | -4.9942 | 0.000 |
| 5 | -4.8826 | 0.000 |
| 6 | -6.0055 | 0.000 |
| 7 | -4.8666 | 0.000 |
| 8 | -1.5581 | 0.000 |